# CsTlIn2

A relaxed CsTlIn2 crystal (GGA-PBE, the Alexandria database).

Its formation energy is -0.035 eV/atom. The value obtained for the energy is -2.2090 eV/atom. For the offset from the most stable computed form, the calculation gives 35.0 meV/atom. The calculated density comes out at 5.55 g cm⁻³.

It has space group R-3m (No. 166, hexagonal axes), with a = 5.1887 Å, b = 5.1887 Å, c = 21.8401 Å, α = 90.00°, β = 90.00° and γ = 120.00°. The distinct sites, in fractional coordinates, are Cs at (0.0000, 0.0000, 0.0000), Tl at (0.0000, 0.0000, 0.5000) and In at (0.0000, 0.0000, 0.2092).